1.
KLi4GaPd2: optimized geometry, PBE.

a b c (Å): 4.4904 4.4904 7.0599
angles (deg): 90.00 90.00 90.00
Element x y z (fractional)
1 K 0.0000 0.0000 0.0000
2 Li 0.0000 0.0000 0.5000
3 Li 0.0000 0.5000 0.6961
4 Li 0.5000 0.0000 0.3039
5 Li 0.5000 0.5000 0.0000
6 Ga 0.5000 0.5000 0.5000
7 Pd 0.0000 0.5000 0.3142
8 Pd 0.5000 0.0000 0.6858

Calculated values
Space-group type: P-4m2 (115)
Total DFT energy (no corrections), eV/f.u.: -24.06
V, A^3/atom: 17.79

***

2.
KLuGaTe3: optimized geometry, PBE.

a b c (Å): 8.0855 8.0855 11.5039
angles (deg): 90.00 90.00 146.29
Element x y z (fractional)
1 K 0.2450 0.7550 0.7500
2 K 0.7550 0.2450 0.2500
3 Lu 0.0000 0.0000 0.0000
4 Lu 0.0000 0.0000 0.5000
5 Ga 0.4751 0.5249 0.2500
6 Ga 0.5249 0.4751 0.7500
7 Te 0.0691 0.9309 0.2500
8 Te 0.3732 0.6268 0.0524
9 Te 0.3732 0.6268 0.4476
10 Te 0.6268 0.3732 0.5524
11 Te 0.6268 0.3732 0.9476
12 Te 0.9309 0.0691 0.7500

Calculated values
Space-group type: Cmcm (63)
Total DFT energy (no corrections), eV/f.u.: -23.47
V, A^3/atom: 34.78

***

Copy entry 1 word for word.
KLi4GaPd2: optimized geometry, PBE.

a b c (Å): 4.4904 4.4904 7.0599
angles (deg): 90.00 90.00 90.00
Element x y z (fractional)
1 K 0.0000 0.0000 0.0000
2 Li 0.0000 0.0000 0.5000
3 Li 0.0000 0.5000 0.6961
4 Li 0.5000 0.0000 0.3039
5 Li 0.5000 0.5000 0.0000
6 Ga 0.5000 0.5000 0.5000
7 Pd 0.0000 0.5000 0.3142
8 Pd 0.5000 0.0000 0.6858

Calculated values
Space-group type: P-4m2 (115)
Total DFT energy (no corrections), eV/f.u.: -24.06
V, A^3/atom: 17.79

***

Look up the total DFT energy (no corrections) of the first one.
-24.06 eV/f.u.

***

Please write out number 1 again, unchanged.
KLi4GaPd2: optimized geometry, PBE.

a b c (Å): 4.4904 4.4904 7.0599
angles (deg): 90.00 90.00 90.00
Element x y z (fractional)
1 K 0.0000 0.0000 0.0000
2 Li 0.0000 0.0000 0.5000
3 Li 0.0000 0.5000 0.6961
4 Li 0.5000 0.0000 0.3039
5 Li 0.5000 0.5000 0.0000
6 Ga 0.5000 0.5000 0.5000
7 Pd 0.0000 0.5000 0.3142
8 Pd 0.5000 0.0000 0.6858

Calculated values
Space-group type: P-4m2 (115)
Total DFT energy (no corrections), eV/f.u.: -24.06
V, A^3/atom: 17.79

***

Which formula does entry 1 have?
KLi4GaPd2